[1]
Material: K3IrN6O12
Method: DFT, PBE-GGA
State: optimized geometry

Results
SG: Fm-3m (225)
ΔE_f (raw) (eV/atom): 0.7306
E (eV/cell): -105.53
Theoretical density (g cm⁻³): 2.9
Crystal system: cubic

Unit cell a=7.8064 b=7.8064 c=7.8064 alpha=60.00 beta=60.00 gamma=60.00
Atoms (fractional coordinates):
K  0.0000  0.0000  0.0000
K  0.2500  0.2500  0.2500
K  0.7500  0.7500  0.7500
Ir  0.5000  0.5000  0.5000
N  0.3188  0.3188  0.6812
N  0.3188  0.6812  0.3188
N  0.3188  0.6812  0.6812
N  0.6812  0.3188  0.3188
N  0.6812  0.3188  0.6812
N  0.6812  0.6812  0.3188
O  0.0828  0.5000  0.5000
O  0.0828  0.5000  0.9172
O  0.0828  0.9172  0.5000
O  0.5000  0.0828  0.5000
O  0.5000  0.0828  0.9172
O  0.5000  0.5000  0.0828
O  0.5000  0.5000  0.9172
O  0.5000  0.9172  0.0828
O  0.5000  0.9172  0.5000
O  0.9172  0.0828  0.5000
O  0.9172  0.5000  0.0828
O  0.9172  0.5000  0.5000

***

[2]
Material: LaMn2Ge3
Method: DFT, PBE-GGA
State: optimized geometry

Results
SG: Cmcm (63)
E (eV/cell): -78.11
Theoretical density (g cm⁻³): 7.3
Crystal system: orthorhombic
Formation energy (eV per atom): -0.323

Unit cell a=6.3777 b=6.3777 c=5.3680 alpha=90.00 beta=90.00 gamma=75.26
Atoms (fractional coordinates):
La  0.1633  0.8367  0.7500
La  0.8367  0.1633  0.2500
Mn  0.3011  0.3011  0.0000
Mn  0.3011  0.3011  0.5000
Mn  0.6989  0.6989  0.0000
Mn  0.6989  0.6989  0.5000
Ge  0.0247  0.5997  0.2500
Ge  0.4003  0.9753  0.2500
Ge  0.4409  0.5591  0.2500
Ge  0.5591  0.4409  0.7500
Ge  0.5997  0.0247  0.7500
Ge  0.9753  0.4003  0.7500

***

[3]
Material: Cu2As2Pd
Method: DFT, PBE-GGA
State: optimized geometry

Results
Distance to the lowest polymorph of the same formula (kJ/mol of atoms): 0.0
SG: P4/mbm (127)
E (eV/cell): -44.84
Theoretical density (g cm⁻³): 8.3
Crystal system: tetragonal
Formation energy (eV per atom): 0.053

Unit cell a=6.9754 b=6.9754 c=3.1549 alpha=90.00 beta=90.00 gamma=90.00
Atoms (fractional coordinates):
Cu  0.1256  0.3744  0.0000
Cu  0.3744  0.8744  0.0000
Cu  0.6256  0.1256  0.0000
Cu  0.8744  0.6256  0.0000
As  0.1772  0.6772  0.5000
As  0.3228  0.1772  0.5000
As  0.6772  0.8228  0.5000
As  0.8228  0.3228  0.5000
Pd  0.0000  0.0000  0.0000
Pd  0.5000  0.5000  0.0000

***

[4]
Material: MoH2Os2
Method: DFT, PBE-GGA
State: optimized geometry

Results
Distance to the lowest polymorph of the same formula (kJ/mol of atoms): 6.4
SG: I4/mmm (139)
E (eV/cell): -37.62
Theoretical density (g cm⁻³): 14.4
Crystal system: tetragonal

Unit cell a=4.3028 b=4.3028 c=4.3028 alpha=121.36 beta=121.36 gamma=87.67
Atoms (fractional coordinates):
Mo  0.0000  0.0000  0.0000
H  0.3085  0.3085  0.0000
H  0.6915  0.6915  0.0000
Os  0.2500  0.7500  0.5000
Os  0.7500  0.2500  0.5000

***

[5]
Material: BaSr2LiP
Method: DFT, PBE-GGA
State: optimized geometry

Results
SG: P4/mmm (123)
E (eV/cell): -14.79
Theoretical density (g cm⁻³): 2.6
Crystal system: tetragonal
Formation energy (eV per atom): -0.436

Unit cell a=5.9616 b=5.9616 c=6.3498 alpha=90.00 beta=90.00 gamma=90.00
Atoms (fractional coordinates):
Ba  0.0000  0.0000  0.0000
Sr  0.0000  0.5000  0.5000
Sr  0.5000  0.0000  0.5000
Li  0.5000  0.5000  0.0000
P  0.0000  0.0000  0.5000

***

[6]
Material: HfSi3Mo
Method: DFT, PBE-GGA
State: optimized geometry

Results
Distance to the lowest polymorph of the same formula (kJ/mol of atoms): 0.0
SG: Pm-3m (221)
ΔE_f (raw) (eV/atom): 0.6565
E (eV/cell): -33.77
Theoretical density (g cm⁻³): 6.0
Crystal system: cubic

Unit cell a=4.6383 b=4.6383 c=4.6383 alpha=90.00 beta=90.00 gamma=90.00
Atoms (fractional coordinates):
Hf  0.0000  0.0000  0.0000
Si  0.0000  0.5000  0.5000
Si  0.5000  0.0000  0.5000
Si  0.5000  0.5000  0.0000
Mo  0.5000  0.5000  0.5000

***

[7]
Material: TlAg2Sn4
Method: DFT, PBE-GGA
State: optimized geometry

Results
SG: Pnma (62)
E (eV/cell): -95.73
Theoretical density (g cm⁻³): 8.2
Crystal system: orthorhombic
Formation energy (eV per atom): 0.021

Unit cell a=19.7754 b=4.8867 c=7.4870 alpha=90.00 beta=90.00 gamma=90.00
Atoms (fractional coordinates):
Tl  0.1404  0.2500  0.0344
Tl  0.3596  0.7500  0.5344
Tl  0.6404  0.2500  0.4656
Tl  0.8596  0.7500  0.9656
Ag  0.0410  0.7500  0.2493
Ag  0.2141  0.2500  0.5385
Ag  0.2859  0.7500  0.0385
Ag  0.4590  0.2500  0.7493
Ag  0.5410  0.7500  0.2507
Ag  0.7141  0.2500  0.9615
Ag  0.7859  0.7500  0.4615
Ag  0.9590  0.2500  0.7507
Sn  0.0350  0.7500  0.8531
Sn  0.0664  0.2500  0.4825
Sn  0.1857  0.7500  0.3280
Sn  0.1887  0.7500  0.7453
Sn  0.3113  0.2500  0.2453
Sn  0.3143  0.2500  0.8280
Sn  0.4336  0.7500  0.9825
Sn  0.4650  0.2500  0.3531
Sn  0.5350  0.7500  0.6469
Sn  0.5664  0.2500  0.0175
Sn  0.6857  0.7500  0.1720
Sn  0.6887  0.7500  0.7547
Sn  0.8113  0.2500  0.2547
Sn  0.8143  0.2500  0.6720
Sn  0.9336  0.7500  0.5175
Sn  0.9650  0.2500  0.1469

***

[8]
Material: Ce2Ho3ThTe6
Method: DFT, PBE-GGA
State: optimized geometry

Results
SG: C2/m (12)
ΔE_f (raw) (eV/atom): -1.2528
E (eV/cell): -66.90
Theoretical density (g cm⁻³): 8.1
Crystal system: monoclinic

Unit cell a=9.9891 b=9.9891 c=8.9944 alpha=106.25 beta=106.25 gamma=25.00
Atoms (fractional coordinates):
Ce  0.1642  0.1642  0.3274
Ce  0.8358  0.8358  0.6726
Ho  0.1661  0.1661  0.8313
Ho  0.5000  0.5000  0.5000
Ho  0.8339  0.8339  0.1687
Th  0.5000  0.5000  0.0000
Te  0.0039  0.0039  0.7417
Te  0.3299  0.3299  0.9266
Te  0.3353  0.3353  0.4118
Te  0.6647  0.6647  0.5882
Te  0.6701  0.6701  0.0734
Te  0.9961  0.9961  0.2583